A geometry-optimized Pm2MnTe2O2 structure, computed with PBE with a Hubbard U.

## Properties
Space-group type = C2/m, No. 12
Final energy = -6.857 eV/atom

Unit cell a=4.0285 b=6.2838 c=7.0107 alpha=69.92 beta=73.30 gamma=71.30
Closest atoms and distances in Å follow each position.
Fractional coordinates of all 7 atoms:
1 Mn 0.0000 0.0000 0.0000  2 O 2.12
2 Te 0.5671 0.1981 0.6677  2 Mn 2.99, 1 Pm 3.32
3 Te 0.4329 0.8019 0.3323  2 Mn 2.99, 1 Pm 3.32
4 Pm 0.8057 0.6200 0.7685  3 O 2.33
5 Pm 0.1943 0.3800 0.2315  3 O 2.33
6 O 0.7999 0.3215 0.0787  1 Mn 2.12, 3 Pm 2.33
7 O 0.2001 0.6785 0.9213  1 Mn 2.12, 3 Pm 2.33